<i>
Entry from the Open Quantum Materials Database: crystalline MgFeSiW at its relaxed geometry (PBE-GGA).

It has space group F-43m (No. 216), with a = 6.031 Å, b = 6.031 Å, c = 6.031 Å, α = 90.00°, β = 90.00° and γ = 90.00°. The asymmetric unit holds Mg at (0.000, 0.000, 0.000), Fe at (0.000, 0.000, 0.500), Si at (0.250, 0.250, 0.250) and W at (0.250, 0.250, 0.750).



<ii>
Entry from the Open Quantum Materials Database: crystalline MgFeSiW at its relaxed geometry (PBE-GGA).

It has space group F-43m (No. 216), with a = 6.057 Å, b = 6.057 Å, c = 6.057 Å, α = 90.00°, β = 90.00° and γ = 90.00°. The asymmetric unit holds Mg at (0.000, 0.000, 0.000), Fe at (0.250, 0.250, 0.750), Si at (0.000, 0.000, 0.500) and W at (0.250, 0.250, 0.250).



Winner for stability: <ii>



<i>
Entry from the Open Quantum Materials Database: crystalline MgZnFeSi at its relaxed geometry (PBE-GGA).

It has space group F-43m (No. 216), with a = 5.965 Å, b = 5.965 Å, c = 5.965 Å, α = 90.00°, β = 90.00° and γ = 90.00°. The asymmetric unit holds Mg at (0.000, 0.000, 0.000), Zn at (0.250, 0.250, 0.750), Fe at (0.000, 0.000, 0.500) and Si at (0.250, 0.250, 0.250).



<ii>
Entry from the Open Quantum Materials Database: crystalline MgZnFeSi at its relaxed geometry (PBE-GGA).

It has space group F-43m (No. 216), with a = 5.947 Å, b = 5.947 Å, c = 5.947 Å, α = 90.00°, β = 90.00° and γ = 90.00°. The asymmetric unit holds Mg at (0.000, 0.000, 0.000), Zn at (0.250, 0.250, 0.250), Fe at (0.250, 0.250, 0.750) and Si at (0.000, 0.000, 0.500).



Winner for stability: <i>



<i>
Entry from the Open Quantum Materials Database: crystalline MgFeSnW at its relaxed geometry (PBE-GGA).

It has space group F-43m (No. 216), with a = 6.342 Å, b = 6.342 Å, c = 6.342 Å, α = 90.00°, β = 90.00° and γ = 90.00°. The asymmetric unit holds Mg at (0.000, 0.000, 0.000), Fe at (0.000, 0.000, 0.500), Sn at (0.250, 0.250, 0.250) and W at (0.250, 0.250, 0.750).



<ii>
Entry from the Open Quantum Materials Database: crystalline MgFeSnW at its relaxed geometry (PBE-GGA).

It has space group F-43m (No. 216), with a = 6.426 Å, b = 6.426 Å, c = 6.426 Å, α = 90.00°, β = 90.00° and γ = 90.00°. The asymmetric unit holds Mg at (0.000, 0.000, 0.000), Fe at (0.250, 0.250, 0.750), Sn at (0.000, 0.000, 0.500) and W at (0.250, 0.250, 0.250).



Winner for stability: <i>



<i>
Entry from the Open Quantum Materials Database: crystalline SrMgFeW at its relaxed geometry (PBE-GGA).

It has space group F-43m (No. 216), with a = 6.625 Å, b = 6.625 Å, c = 6.625 Å, α = 90.00°, β = 90.00° and γ = 90.00°. The asymmetric unit holds Sr at (0.000, 0.000, 0.000), Mg at (0.250, 0.250, 0.750), Fe at (0.000, 0.000, 0.500) and W at (0.250, 0.250, 0.250).



<ii>
Entry from the Open Quantum Materials Database: crystalline SrMgFeW at its relaxed geometry (PBE-GGA).

It has space group F-43m (No. 216), with a = 6.983 Å, b = 6.983 Å, c = 6.983 Å, α = 90.00°, β = 90.00° and γ = 90.00°. The asymmetric unit holds Sr at (0.000, 0.000, 0.000), Mg at (0.000, 0.000, 0.500), Fe at (0.250, 0.250, 0.750) and W at (0.250, 0.250, 0.250).



Winner for stability: <i>



<i>
Entry from the Open Quantum Materials Database: crystalline MgZrTlFe at its relaxed geometry (PBE-GGA).

It has space group F-43m (No. 216), with a = 6.643 Å, b = 6.643 Å, c = 6.643 Å, α = 90.00°, β = 90.00° and γ = 90.00°. The asymmetric unit holds Mg at (0.000, 0.000, 0.000), Zr at (0.250, 0.250, 0.750), Tl at (0.250, 0.250, 0.250) and Fe at (0.000, 0.000, 0.500).



<ii>
Entry from the Open Quantum Materials Database: crystalline MgZrTlFe at its relaxed geometry (PBE-GGA).

It has space group F-43m (No. 216), with a = 6.751 Å, b = 6.751 Å, c = 6.751 Å, α = 90.00°, β = 90.00° and γ = 90.00°. The asymmetric unit holds Mg at (0.000, 0.000, 0.000), Zr at (0.250, 0.250, 0.250), Tl at (0.000, 0.000, 0.500) and Fe at (0.250, 0.250, 0.750).



Winner for stability: <i>



<i>
Entry from the Open Quantum Materials Database: crystalline MgUFe at its relaxed geometry (PBE-GGA).

It has space group F-43m (No. 216), with a = 6.325 Å, b = 6.325 Å, c = 6.325 Å, α = 90.00°, β = 90.00° and γ = 90.00°. The asymmetric unit holds Mg at (0.000, 0.000, 0.000), U at (0.250, 0.250, 0.750) and Fe at (0.000, 0.000, 0.500).



<ii>
Entry from the Open Quantum Materials Database: crystalline MgUFe at its relaxed geometry (PBE-GGA).

It has space group F-43m (No. 216), with a = 6.166 Å, b = 6.166 Å, c = 6.166 Å, α = 90.00°, β = 90.00° and γ = 90.00°. The asymmetric unit holds Mg at (0.000, 0.000, 0.000), U at (0.000, 0.000, 0.500) and Fe at (0.250, 0.250, 0.750).



Winner for stability: <ii>



<i>
Entry from the Open Quantum Materials Database: crystalline MgZnFeW at its relaxed geometry (PBE-GGA).

It has space group F-43m (No. 216), with a = 6.198 Å, b = 6.198 Å, c = 6.198 Å, α = 90.00°, β = 90.00° and γ = 90.00°. The asymmetric unit holds Mg at (0.000, 0.000, 0.000), Zn at (0.000, 0.000, 0.500), Fe at (0.250, 0.250, 0.750) and W at (0.250, 0.250, 0.250).



<ii>
Entry from the Open Quantum Materials Database: crystalline MgZnFeW at its relaxed geometry (PBE-GGA).

It has space group F-43m (No. 216), with a = 6.044 Å, b = 6.044 Å, c = 6.044 Å, α = 90.00°, β = 90.00° and γ = 90.00°. The asymmetric unit holds Mg at (0.000, 0.000, 0.000), Zn at (0.250, 0.250, 0.250), Fe at (0.000, 0.000, 0.500) and W at (0.250, 0.250, 0.750).



<iii>
Entry from the Open Quantum Materials Database: crystalline MgZnFeW at its relaxed geometry (PBE-GGA).

It has space group F-43m (No. 216), with a = 6.079 Å, b = 6.079 Å, c = 6.079 Å, α = 90.00°, β = 90.00° and γ = 90.00°. The asymmetric unit holds Mg at (0.000, 0.000, 0.000), Zn at (0.250, 0.250, 0.750), Fe at (0.250, 0.250, 0.250) and W at (0.000, 0.000, 0.500).



Winner for stability: <iii>